3
Lattice="-4.223 1.410 -6.463 -6.186 1.345 -4.058 1.004 2.678 -1.208" Properties=species:S:1:pos:R:3 comment="TcAuBr (PBE-GGA, relaxed)" energy_ev_per_atom=-4.451 n_ef_per_ev_cell=2.56 spacegroup=Fmm2 formation_energy_uncorrected_kj_per_mol_atoms=63.2 e_above_lowest_polymorph_mev_per_atom=168 pbc="T T T"
Br -6.879 2.731 -7.640
Au -10.209 2.754 -10.358
Tc -2.726 2.703 -4.251